KSb: optimized geometry, PBE-GGA.

Calculated values
Raw total energy: -25.37 eV per cell
Energy above the most stable polymorph in this dataset: 0.936 eV/atom
Energy relative to the elements, uncorrected: 47.81 kJ per mole of atoms

POSCAR file:
```
KSb
1.0
10.038 0.000 0.000
0.000 10.038 0.000
0.000 0.000 10.038
K Sb
6 6
Direct
0.000 0.250 0.500
0.000 0.750 0.500
0.250 0.500 0.000
0.500 0.000 0.250
0.500 0.000 0.750
0.750 0.500 0.000
0.000 0.500 0.250
0.000 0.500 0.750
0.250 0.000 0.500
0.500 0.250 0.000
0.500 0.750 0.000
0.750 0.000 0.500
```